## LiHfSN2 (PBE)

Data for an optimized crystal structure of LiHfSN2.

Summary:
The value obtained for the raw formation energy is 621 meV/atom. The energy above the most stable polymorph in this dataset comes out at 712 meV/atom. The calculation puts the magnetization at 0.00 Bohr magnetons per cell.

```
5
Lattice="3.698 0.000 0.000 0.000 3.698 0.000 0.000 0.000 4.189" Properties=species:S:1:pos:R:3 pbc="T T T"
Hf 1.849 1.849 2.094
Li 0.000 0.000 0.000
S 0.000 0.000 2.094
N 1.849 0.000 0.000
N 0.000 1.849 0.000
```